w) This record from the Alexandria database describes crystalline YTm2Ga at its relaxed geometry. The functional is PBE-GGA.

Cell: 3.4968 3.4968 8.8043 Å, 90.00 90.00 90.00°
Last column: nearest neighbours and their distance in Å.
Space group P4/mmm (No. 123)
Asymmetric unit:
Y 0.0000 0.0000 0.0000 x1  4 Y 3.50, 8 Tm 3.57
Tm 0.5000 0.5000 0.2928 x2  4 Ga 3.07
Ga 0.0000 0.0000 0.5000 x1  8 Tm 3.07

## Properties
* total moment: 0.00 Bohr magnetons per cell



x) This record from the Alexandria database describes crystalline YTm2Ga at its relaxed geometry. The functional is PBE-GGA.

Cell: 3.4669 3.4669 33.3087 Å, 90.00 90.00 120.00°
Last column: nearest neighbours and their distance in Å.
Space group R-3m (No. 166, hexagonal axes)
Asymmetric unit:
Y 0.0000 0.0000 0.0000 x3  2 Tm 3.40, 6 Y 3.47
Tm 0.0000 0.0000 0.1019 x6  3 Ga 2.94
Ga 0.0000 0.0000 0.5000 x3  6 Tm 2.94

## Properties
* total moment: 3.24 Bohr magnetons per cell



Most stable: w) (next structure +0.291 eV/atom)



w) This record from the Alexandria database describes crystalline Y2TmGa at its relaxed geometry. The functional is PBE-GGA.

Cell: 3.6652 12.7796 9.5246 Å, 90.00 90.00 90.00°
Last column: nearest neighbours and their distance in Å.
Space group Cmcm (No. 63)
Asymmetric unit:
Y 0.0000 0.1334 0.0526 x8  3 Ga 3.07-3.20
Tm 0.0000 0.4427 0.2500 x4  2 Ga 2.99
Ga 0.0000 0.2424 0.7500 x4  2 Tm 2.99, 6 Y 3.07-3.20

## Properties
* total moment: 2.66 Bohr magnetons per cell



x) This record from the Alexandria database describes crystalline Y2TmGa at its relaxed geometry. The functional is PBE-GGA.

Cell: 3.6141 3.6141 30.3649 Å, 90.00 90.00 120.00°
Last column: nearest neighbours and their distance in Å.
Space group R3m (No. 160, hexagonal axes)
Asymmetric unit:
Y 0.0000 0.0000 0.0000 x3  3 Ga 3.00
Y 0.0000 0.0000 0.1902 x3  3 Ga 3.02
Tm 0.0000 0.0000 0.7615 x3  6 Y 3.56-3.57, 6 Tm 3.61
Ga 0.0000 0.0000 0.5955 x3  6 Y 3.00-3.02

## Properties
* total moment: 2.27 Bohr magnetons per cell



y) This record from the Alexandria database describes crystalline Y2TmGa at its relaxed geometry. The functional is PBE-GGA.

Cell: 3.4894 3.4894 34.8283 Å, 90.00 90.00 120.00°
Last column: nearest neighbours and their distance in Å.
Space group R-3m (No. 166, hexagonal axes)
Asymmetric unit:
Y 0.0000 0.0000 0.0859 x6  1 Ga 2.99
Tm 0.0000 0.0000 0.5000 x3  6 Y 3.46, 6 Tm 3.49
Ga 0.0000 0.0000 0.0000 x3  2 Y 2.99

## Properties
* total moment: 0.00 Bohr magnetons per cell



z) This record from the Alexandria database describes crystalline Y2TmGa at its relaxed geometry. The functional is PBE-GGA.

Cell: 3.5144 3.5144 8.9141 Å, 90.00 90.00 90.00°
Last column: nearest neighbours and their distance in Å.
Space group P4/mmm (No. 123)
Asymmetric unit:
Y 0.0000 0.0000 0.2101 x2  4 Ga 3.11
Tm 0.5000 0.5000 0.5000 x1  4 Tm 3.51, 8 Y 3.59
Ga 0.5000 0.5000 0.0000 x1  8 Y 3.11

## Properties
* total moment: 0.00 Bohr magnetons per cell



Most stable: w) (next structure +0.021 eV/atom)



w) This record from the Alexandria database describes crystalline YTmGa4 at its relaxed geometry. The functional is PBE-GGA.

Cell: 7.7624 7.7624 7.7624 Å, 90.00 90.00 90.00°
Last column: nearest neighbours and their distance in Å.
Space group F-43m (No. 216)
Asymmetric unit:
Y 0.0000 0.0000 0.0000 x4  12 Ga 3.22, 4 Tm 3.36
Tm 0.2500 0.2500 0.7500 x4  12 Ga 3.22, 4 Y 3.36
Ga 0.1249 0.1249 0.3751 x16  6 Ga 2.74-2.75

## Properties
* total moment: 0.00 Bohr magnetons per cell



x) This record from the Alexandria database describes crystalline YTmGa4 at its relaxed geometry. The functional is PBE-GGA.

Cell: 4.3261 4.3261 7.4779 Å, 90.00 90.00 120.00°
Last column: nearest neighbours and their distance in Å.
Space group P6/mmm (No. 191)
Asymmetric unit:
Y 0.0000 0.0000 0.0000 x1  12 Ga 3.14
Tm 0.0000 0.0000 0.5000 x1  12 Ga 3.10
Ga 0.3333 0.6667 0.2551 x4  3 Ga 2.50

## Properties
* total moment: 0.00 Bohr magnetons per cell



y) This record from the Alexandria database describes crystalline YTmGa4 at its relaxed geometry. The functional is PBE-GGA.

Cell: 4.2391 6.9474 8.2040 Å, 90.00 90.00 90.00°
Last column: nearest neighbours and their distance in Å.
Space group Imm2 (No. 44)
Asymmetric unit:
Y 0.0000 0.0000 0.0000 x2  10 Ga 3.10-3.12
Tm 0.0000 0.5000 0.8789 x2  10 Ga 3.08-3.11
Ga 0.0000 0.1969 0.6014 x4  4 Ga 2.58-2.74
Ga 0.0000 0.2991 0.2797 x4  4 Ga 2.58-2.79

## Properties
* total moment: 0.00 Bohr magnetons per cell



Most stable: y) (next structure +0.008 eV/atom)



w) This record from the Alexandria database describes crystalline Tm3ZnGa3 at its relaxed geometry. The functional is PBE-GGA.

Cell: 8.5702 8.5702 4.7544 Å, 90.00 90.00 120.00°
Last column: nearest neighbours and their distance in Å.
Space group P6_3/m (No. 176)
Asymmetric unit:
Tm 0.0995 0.4416 0.2500 x6  4 Ga 2.94-3.02, 2 Zn 3.09
Zn 0.3333 0.6667 0.7500 x2  9 Tm 3.09-3.34, 3 Ga 3.41
Ga 0.0428 0.2129 0.7500 x6  6 Ga 2.90-2.91, 4 Tm 2.94-3.02

## Properties
* total moment: 0.00 Bohr magnetons per cell



x) This record from the Alexandria database describes crystalline Tm3ZnGa3 at its relaxed geometry. The functional is PBE-GGA.

Cell: 10.5800 4.3333 13.9374 Å, 90.00 109.94 90.00°
Last column: nearest neighbours and their distance in Å.
Space group C2/m (No. 12)
Asymmetric unit:
Tm 0.0358 0.0000 0.3802 x4  7 Ga 2.99-3.33, 4 Zn 3.06-3.22
Tm 0.1020 0.0000 0.9212 x4  7 Ga 2.98-3.17
Tm 0.2413 0.0000 0.2211 x4  6 Ga 2.97-3.14, 2 Zn 3.22
Zn 0.2451 0.5000 0.3926 x4  4 Ga 2.53-2.81
Ga 0.0314 0.5000 0.2317 x4  1 Zn 2.59, 1 Ga 2.63
Ga 0.1142 0.5000 0.0742 x4  2 Ga 2.59-2.63
Ga 0.1296 0.5000 0.5466 x4  3 Zn 2.53-2.81, 1 Ga 2.60

## Properties
* total moment: 0.00 Bohr magnetons per cell



Most stable: x) (next structure +0.223 eV/atom)



w) This record from the Alexandria database describes crystalline Tm4ZnGa3 at its relaxed geometry. The functional is PBE-GGA.

Cell: 4.1047 4.1302 10.8346 Å, 90.00 90.00 90.00°
Last column: nearest neighbours and their distance in Å.
Space group Pmm2 (No. 25)
Asymmetric unit:
Tm 0.0000 0.0000 0.0000 x1  7 Ga 3.00-3.13
Tm 0.0000 0.5000 0.4986 x1  4 Zn 3.00, 3 Ga 3.05-3.17
Tm 0.5000 0.0000 0.2829 x1  6 Ga 3.00-3.13, 1 Zn 3.06
Tm 0.5000 0.5000 0.7844 x1  5 Ga 2.99-3.05, 2 Zn 3.14
Zn 0.5000 0.0000 0.5655 x1  2 Ga 2.65
Ga 0.0000 0.0000 0.7206 x1  2 Zn 2.65
Ga 0.0000 0.5000 0.2167 x1  2 Ga 2.62
Ga 0.5000 0.5000 0.0661 x1  2 Ga 2.62

## Properties
* total moment: 0.00 Bohr magnetons per cell



x) This record from the Alexandria database describes crystalline Tm4ZnGa3 at its relaxed geometry. The functional is PBE-GGA.

Cell: 4.9983 4.9983 6.9893 Å, 90.00 90.00 90.00°
Last column: nearest neighbours and their distance in Å.
Space group P4/mmm (No. 123)
Asymmetric unit:
Tm 0.0000 0.5000 0.2491 x4  2 Zn 3.05, 6 Ga 3.05
Zn 0.0000 0.0000 0.0000 x1  8 Tm 3.05
Ga 0.0000 0.0000 0.5000 x1  8 Tm 3.05
Ga 0.5000 0.5000 0.0000 x1  8 Tm 3.05
Ga 0.5000 0.5000 0.5000 x1  8 Tm 3.05

## Properties
* total moment: 0.00 Bohr magnetons per cell



Most stable: w) (next structure +0.005 eV/atom)



w) This record from the Alexandria database describes crystalline Tm4Zn3Ga at its relaxed geometry. The functional is PBE-GGA.

Cell: 3.6564 4.4199 11.1166 Å, 90.00 90.00 90.00°
Last column: nearest neighbours and their distance in Å.
Space group Pmm2 (No. 25)
Asymmetric unit:
Tm 0.0000 0.0000 0.0000 x1  6 Zn 3.00-3.06, 1 Ga 3.08
Tm 0.0000 0.5000 0.3003 x1  7 Zn 3.00-3.08
Tm 0.5000 0.0000 0.4950 x1  5 Zn 3.01-3.05, 2 Ga 3.12
Tm 0.5000 0.5000 0.8026 x1  4 Ga 3.00, 3 Zn 3.06-3.10
Zn 0.0000 0.5000 0.5776 x1  2 Ga 2.74, 4 Tm 3.01
Zn 0.5000 0.0000 0.2207 x1  2 Zn 2.72, 4 Tm 3.00
Zn 0.5000 0.5000 0.0779 x1  2 Zn 2.72, 4 Tm 3.00
Ga 0.0000 0.0000 0.7229 x1  2 Zn 2.74, 4 Tm 3.00

## Properties
* total moment: 0.00 Bohr magnetons per cell



x) This record from the Alexandria database describes crystalline Tm4Zn3Ga at its relaxed geometry. The functional is PBE-GGA.

Cell: 4.9743 4.9743 24.4205 Å, 90.00 90.00 120.00°
Last column: nearest neighbours and their distance in Å.
Space group R-3m (No. 166, hexagonal axes)
Asymmetric unit:
Tm 0.0000 0.0000 0.1251 x6  7 Zn 3.00-3.05, 1 Ga 3.06
Tm 0.0000 0.0000 0.3752 x6  5 Zn 3.05-3.11, 3 Ga 3.05
Zn 0.0000 0.0000 0.2479 x6  8 Tm 3.00-3.11
Zn 0.0000 0.0000 0.5000 x3  8 Tm 3.05
Ga 0.0000 0.0000 0.0000 x3  8 Tm 3.05-3.06

## Properties
* total moment: 0.00 Bohr magnetons per cell



Most stable: x) (next structure +0.037 eV/atom)